(1)
Material: Er3Zn4Ge2
Method: DFT, PBE
State: optimized geometry

abc: 4.2538 5.7279 8.3601
angles: 108.36 90.00 111.80
Sites, in units of the cell vectors:
Er  0.6774  0.3548  0.6518
Er  0.0000  0.0000  0.0000
Er  0.3226  0.6452  0.3482
Zn  0.7491  0.4982  0.0769
Zn  0.2509  0.5018  0.9231
Zn  0.9844  0.9687  0.6421
Zn  0.0156  0.0313  0.3579
Ge  0.6107  0.2215  0.2749
Ge  0.3893  0.7785  0.7251

Summary:
Energy relative to the elements = -0.562 eV per atom
Spin magnetization = 0.00 μB/f.u.
Space-group type = No. 12


(2)
Material: InBi2Te2
Method: DFT, PBE
State: optimized geometry

abc: 4.5836 4.5836 8.8971
angles: 75.07 75.07 90.00
Sites, in units of the cell vectors:
Te  0.4083  0.4083  0.1835
Te  0.5917  0.5917  0.8165
Bi  0.7500  0.2500  0.5000
Bi  0.2500  0.7500  0.5000
In  0.0000  0.0000  0.0000

Summary:
Formation energy (no corrections) = 0.44 eV/f.u.
Spin magnetization = 0.00 μB/f.u.
Space-group type = No. 139
E above lowest polymorph = 51.4 kJ/mol of formula units


(3)
Material: Sc2MnTc
Method: DFT, PBE
State: optimized geometry

abc: 9.7073 9.7073 9.7073
angles: 17.38 17.38 17.38
Sites, in units of the cell vectors:
Sc  0.9110  0.9110  0.9110
Sc  0.0890  0.0890  0.0890
Mn  0.5000  0.5000  0.5000
Tc  0.0000  0.0000  0.0000

Summary:
Energy relative to the elements = 0.469 eV per atom
Spin magnetization = 2.77 μB/f.u.
Space-group type = No. 166


(4)
Material: HfCI2O
Method: DFT, PBE
State: optimized geometry

abc: 5.3409 5.3409 3.3478
angles: 90.00 90.00 90.00
Sites, in units of the cell vectors:
I  0.0000  0.5000  0.0000
I  0.5000  0.0000  0.0000
C  0.0000  0.0000  0.0000
Hf  0.5000  0.5000  0.5000
O  0.0000  0.0000  0.5000

Summary:
Formation energy (no corrections) = 4.95 eV/f.u.
Spin magnetization = 0.00 μB/f.u.
Space-group type = No. 123
E above lowest polymorph = 372.0 kJ/mol of formula units


(5)
Material: TaTcGe2
Method: DFT, PBE
State: optimized geometry

abc: 3.8583 3.8583 9.6903
angles: 78.52 78.52 90.00
Sites, in units of the cell vectors:
Ge  0.6154  0.1250  0.2500
Ge  0.1346  0.6250  0.2500
Ge  0.3750  0.3846  0.7500
Ge  0.8750  0.8654  0.7500
Tc  0.5000  0.5000  0.0000
Tc  0.2500  0.7500  0.5000
Ta  0.0000  0.0000  0.0000
Ta  0.7500  0.2500  0.5000

Summary:
Energy relative to the elements = 0.239 eV per atom
Spin magnetization = 0.00 μB/f.u.
Space-group type = No. 122
E above lowest polymorph = 74.8 kJ/mol of formula units


(6)
Material: PmEuTm2
Method: DFT, PBE
State: optimized geometry

abc: 5.0471 5.1067 5.1067
angles: 90.00 90.00 90.00
Sites, in units of the cell vectors:
Eu  0.5000  0.5000  0.5000
Tm  0.0000  0.0000  0.5000
Tm  0.0000  0.5000  0.0000
Pm  0.5000  0.0000  0.0000

Summary:
Energy relative to the elements = 0.094 eV per atom
Spin magnetization = 7.09 μB/f.u.
Space-group type = No. 123
E above lowest polymorph = 8.6 kJ/mol of formula units


(7)
Material: Tm5SnRu2
Method: DFT, PBE
State: optimized geometry

abc: 7.6115 7.6115 8.6155
angles: 116.21 116.21 90.00
Sites, in units of the cell vectors:
Tm  0.5255  0.7086  0.7341
Tm  0.7914  0.9745  0.2659
Tm  0.0000  0.0000  0.0000
Tm  0.5000  0.5000  0.0000
Tm  0.2086  0.0255  0.7341
Tm  0.7086  0.2086  0.7341
Tm  0.0255  0.5255  0.7341
Tm  0.2914  0.7914  0.2659
Tm  0.9745  0.4745  0.2659
Tm  0.4745  0.2914  0.2659
Sn  0.7500  0.7500  0.5000
Sn  0.2500  0.2500  0.5000
Ru  0.1408  0.3592  0.0000
Ru  0.6408  0.1408  0.0000
Ru  0.3592  0.8592  0.0000
Ru  0.8592  0.6408  0.0000

Summary:
Energy relative to the elements = -0.512 eV per atom
Spin magnetization = 0.00 μB/f.u.
Space-group type = No. 140


(8)
Material: Cs2TeAu
Method: DFT, PBE
State: optimized geometry

abc: 6.3277 6.3277 6.3277
angles: 60.00 60.00 60.00
Sites, in units of the cell vectors:
Cs  0.2500  0.2500  0.2500
Cs  0.7500  0.7500  0.7500
Te  0.0000  0.0000  0.0000
Au  0.5000  0.5000  0.5000

Summary:
Formation energy (no corrections) = -1.65 eV/f.u.
Spin magnetization = 0.00 μB/f.u.
Space-group type = No. 225
E above lowest polymorph = 88.1 kJ/mol of formula units